Compound: LaZrAg
Source: Alexandria via LeMat-Bulk
Functional: PBE
Structure: relaxed

Geometry as POSCAR:
```
LaZrAg
1.0
6.9111 0.0000 0.0000
0.0000 6.9111 0.0000
0.0000 0.0000 6.9111
La Zr Ag
4 4 4
Cartesian
0.0000 0.0000 0.0000 La
0.0000 3.4555 3.4555 La
3.4555 0.0000 3.4555 La
3.4555 3.4555 0.0000 La
1.7278 1.7278 5.1833 Zr
1.7278 5.1833 1.7278 Zr
5.1833 1.7278 1.7278 Zr
5.1833 5.1833 5.1833 Zr
0.0000 0.0000 3.4555 Ag
0.0000 3.4555 0.0000 Ag
3.4555 0.0000 0.0000 Ag
3.4555 3.4555 3.4555 Ag
```

Results
Total moment, μB per cell: 0.000
Energy of formation, eV/f.u.: 1.7
Mass density, Mg/m³: 6.8
V, Å³ per atom: 27.51
Raw total energy, eV per atom: -4.861
Space group: F-43m (216)